Record 1
Entry from Alexandria via LeMat-Bulk: a relaxed structure of TaTcHg (GGA-PBEsol).

Output
The space group is Fmm2 (42). The total energy is -7.881 eV/atom. The calculated volume comes out at 17.51 Å³ per atom. The energy of formation from the pure elements is 0.247 eV per atom.

a = 3.2289 Å, b = 4.7626 Å, c = 13.6641 Å
α = 90.00°, β = 90.00°, γ = 90.00°
Fractional coordinates of all 12 atoms:
Ta: 0.0000 0.0000 0.0000
Ta: 0.0000 0.5000 0.5000
Ta: 0.5000 0.0000 0.5000
Ta: 0.5000 0.5000 0.0000
Tc: 0.0000 0.0000 0.3578
Tc: 0.0000 0.5000 0.8578
Tc: 0.5000 0.0000 0.8578
Tc: 0.5000 0.5000 0.3578
Hg: 0.0000 0.0000 0.6820
Hg: 0.0000 0.5000 0.1820
Hg: 0.5000 0.0000 0.1820
Hg: 0.5000 0.5000 0.6820



Record 2
Entry from Alexandria via LeMat-Bulk: a relaxed structure of CsNbSn2Cl (GGA-PBEsol).

Output
The space group is P4/mmm (123). The total energy is -2.520 eV/atom. The calculated volume comes out at 37.08 Å³ per atom. For the formation energy (no corrections), the calculation gives 935 kJ/mol of formula units.

a = 6.0602 Å, b = 6.0602 Å, c = 5.0486 Å
α = 90.00°, β = 90.00°, γ = 90.00°
Fractional coordinates of all 5 atoms:
Cs: 0.0000 0.0000 0.0000
Nb: 0.0000 0.0000 0.5000
Sn: 0.0000 0.5000 0.0000
Sn: 0.5000 0.0000 0.0000
Cl: 0.5000 0.5000 0.5000



Record 3
Entry from Alexandria via LeMat-Bulk: a relaxed structure of SrRe2Sb (GGA-PBEsol).

Output
The space group is P4mm (99). The total energy is -7.979 eV/atom. The calculated volume comes out at 20.57 Å³ per atom. For the formation energy (no corrections), the calculation gives 110 kJ/mol of formula units.

a = 3.1246 Å, b = 3.1246 Å, c = 8.4293 Å
α = 90.00°, β = 90.00°, γ = 90.00°
Fractional coordinates of all 4 atoms:
Sr: 0.0000 0.0000 0.0000
Re: 0.0000 0.0000 0.5589
Re: 0.5000 0.5000 0.7256
Sb: 0.5000 0.5000 0.3376



Record 4
Entry from Alexandria via LeMat-Bulk: a relaxed structure of BeNi (GGA-PBEsol).

Output
The space group is P-3m1 (164). The total energy is -5.197 eV/atom. The calculated volume comes out at 9.23 Å³ per atom. The energy of formation from the pure elements is -0.118 eV per atom.

a = 2.3977 Å, b = 2.3977 Å, c = 7.4162 Å
α = 90.00°, β = 90.00°, γ = 120.00°
Fractional coordinates of all 4 atoms:
Be: 0.3333 0.6667 0.1244
Be: 0.6667 0.3333 0.8756
Ni: 0.3333 0.6667 0.6397
Ni: 0.6667 0.3333 0.3603



Record 5
Entry from Alexandria via LeMat-Bulk: a relaxed structure of Na3In2Ag (GGA-PBEsol).

Output
The space group is Fd-3m (227). The total energy is -2.391 eV/atom. The calculated volume comes out at 25.59 Å³ per atom. The energy of formation from the pure elements is -0.145 eV per atom.

a = 9.5415 Å, b = 9.5415 Å, c = 9.5415 Å
α = 60.00°, β = 60.00°, γ = 60.00°
Fractional coordinates of all 24 atoms:
Na: 0.0773 0.0773 0.6727
Na: 0.0773 0.6727 0.0773
Na: 0.0773 0.6727 0.6727
Na: 0.3273 0.3273 0.9227
Na: 0.3273 0.9227 0.3273
Na: 0.3273 0.9227 0.9227
Na: 0.6727 0.0773 0.0773
Na: 0.6727 0.0773 0.6727
Na: 0.6727 0.6727 0.0773
Na: 0.9227 0.3273 0.3273
Na: 0.9227 0.3273 0.9227
Na: 0.9227 0.9227 0.3273
In: 0.2923 0.2923 0.2923
In: 0.2923 0.2923 0.6230
In: 0.2923 0.6230 0.2923
In: 0.3770 0.7077 0.7077
In: 0.6230 0.2923 0.2923
In: 0.7077 0.3770 0.7077
In: 0.7077 0.7077 0.3770
In: 0.7077 0.7077 0.7077
Ag: 0.0000 0.5000 0.5000
Ag: 0.5000 0.0000 0.5000
Ag: 0.5000 0.5000 0.0000
Ag: 0.5000 0.5000 0.5000



Record 6
Entry from Alexandria via LeMat-Bulk: a relaxed structure of Mg (GGA-PBEsol).

Output
The space group is Fm-3m (225). The total energy is -1.706 eV/atom. The calculation puts the offset from the most stable computed form at 0.01 eV/f.u. The calculated volume comes out at 22.64 Å³ per atom. The energy of formation from the pure elements is 0.011 eV per atom.

a = 4.4907 Å, b = 4.4907 Å, c = 4.4907 Å
α = 90.00°, β = 90.00°, γ = 90.00°
Fractional coordinates of all 4 atoms:
Mg: 0.0000 0.0000 0.0000
Mg: 0.0000 0.5000 0.5000
Mg: 0.5000 0.0000 0.5000
Mg: 0.5000 0.5000 0.0000



Record 7
Entry from Alexandria via LeMat-Bulk: a relaxed structure of Hg2MoW (GGA-PBEsol).

Output
The space group is I4/mmm (139). The total energy is -5.972 eV/atom. The calculation puts the offset from the most stable computed form at 0.00 eV/f.u. The calculated volume comes out at 17.29 Å³ per atom. The energy of formation from the pure elements is 0.705 eV per atom.

a = 3.9471 Å, b = 3.9471 Å, c = 8.8775 Å
α = 90.00°, β = 90.00°, γ = 90.00°
Fractional coordinates of all 8 atoms:
Hg: 0.0000 0.5000 0.2500
Hg: 0.0000 0.5000 0.7500
Hg: 0.5000 0.0000 0.2500
Hg: 0.5000 0.0000 0.7500
Mo: 0.0000 0.0000 0.0000
Mo: 0.5000 0.5000 0.5000
W: 0.0000 0.0000 0.5000
W: 0.5000 0.5000 0.0000



Record 8
Entry from Alexandria via LeMat-Bulk: a relaxed structure of CaGa3P (GGA-PBEsol).

Output
The space group is Pm-3m (221). The total energy is -2.425 eV/atom. The calculated volume comes out at 30.09 Å³ per atom. The energy of formation from the pure elements is 1.163 eV per atom.

a = 5.3184 Å, b = 5.3184 Å, c = 5.3184 Å
α = 90.00°, β = 90.00°, γ = 90.00°
Fractional coordinates of all 5 atoms:
Ca: 0.0000 0.0000 0.0000
Ga: 0.0000 0.0000 0.5000
Ga: 0.0000 0.5000 0.0000
Ga: 0.5000 0.0000 0.0000
P: 0.5000 0.5000 0.5000



Record 9
Entry from Alexandria via LeMat-Bulk: a relaxed structure of YZnPO (GGA-PBEsol).

Output
The space group is R-3m (166). The total energy is -6.772 eV/atom. The calculated volume comes out at 16.03 Å³ per atom. For the formation energy (no corrections), the calculation gives -737 kJ/mol of formula units.

a = 10.2412 Å, b = 10.2412 Å, c = 10.2412 Å
α = 21.66°, β = 21.66°, γ = 21.66°
Fractional coordinates of all 8 atoms:
Y: 0.1202 0.1202 0.1202
Y: 0.8798 0.8798 0.8798
Zn: 0.3041 0.3041 0.3041
Zn: 0.6959 0.6959 0.6959
P: 0.3882 0.3882 0.3882
P: 0.6118 0.6118 0.6118
O: 0.1948 0.1948 0.1948
O: 0.8052 0.8052 0.8052



Record 10
Entry from Alexandria via LeMat-Bulk: a relaxed structure of SrMnFe2As (GGA-PBEsol).

Output
The space group is P4/mmm (123). The total energy is -5.899 eV/atom. The calculated volume comes out at 19.24 Å³ per atom. The energy of formation from the pure elements is 1.028 eV per atom.

a = 4.2474 Å, b = 4.2474 Å, c = 5.3336 Å
α = 90.00°, β = 90.00°, γ = 90.00°
Fractional coordinates of all 5 atoms:
Sr: 0.0000 0.0000 0.0000
Mn: 0.0000 0.0000 0.5000
Fe: 0.0000 0.5000 0.5000
Fe: 0.5000 0.0000 0.5000
As: 0.5000 0.5000 0.0000



Record 11
Entry from Alexandria via LeMat-Bulk: a relaxed structure of ScFe2 (GGA-PBEsol).

Output
The space group is P6_3/mmc (194). The total energy is -8.449 eV/atom. The calculated volume comes out at 13.28 Å³ per atom. The energy of formation from the pure elements is -0.272 eV per atom.

a = 4.8269 Å, b = 4.8269 Å, c = 15.7916 Å
α = 90.00°, β = 90.00°, γ = 120.00°
Fractional coordinates of all 24 atoms:
Sc: 0.0000 0.0000 0.0934
Sc: 0.0000 0.0000 0.4066
Sc: 0.0000 0.0000 0.5934
Sc: 0.0000 0.0000 0.9066
Sc: 0.3333 0.6667 0.1559
Sc: 0.3333 0.6667 0.3441
Sc: 0.6667 0.3333 0.6559
Sc: 0.6667 0.3333 0.8441
Fe: 0.0000 0.5000 0.0000
Fe: 0.0000 0.5000 0.5000
Fe: 0.1649 0.3298 0.7500
Fe: 0.1649 0.8351 0.7500
Fe: 0.3298 0.1649 0.2500
Fe: 0.3333 0.6667 0.6251
Fe: 0.3333 0.6667 0.8749
Fe: 0.5000 0.0000 0.0000
Fe: 0.5000 0.0000 0.5000
Fe: 0.5000 0.5000 0.0000
Fe: 0.5000 0.5000 0.5000
Fe: 0.6667 0.3333 0.1251
Fe: 0.6667 0.3333 0.3749
Fe: 0.6702 0.8351 0.7500
Fe: 0.8351 0.1649 0.2500
Fe: 0.8351 0.6702 0.2500



Record 12
Entry from Alexandria via LeMat-Bulk: a relaxed structure of In2HgCl (GGA-PBEsol).

Output
The space group is Immm (71). The total energy is -2.420 eV/atom. The calculation puts the offset from the most stable computed form at 0.30 eV/f.u. The calculated volume comes out at 24.67 Å³ per atom. For the formation energy (no corrections), the calculation gives -110 kJ/mol of formula units.

a = 3.5370 Å, b = 5.6185 Å, c = 9.9293 Å
α = 90.00°, β = 90.00°, γ = 90.00°
Fractional coordinates of all 8 atoms:
In: 0.0000 0.0000 0.2424
In: 0.0000 0.0000 0.7576
In: 0.5000 0.5000 0.2576
In: 0.5000 0.5000 0.7424
Hg: 0.0000 0.5000 0.0000
Hg: 0.5000 0.0000 0.5000
Cl: 0.0000 0.5000 0.5000
Cl: 0.5000 0.0000 0.0000



Repeat the eleventh record exactly.
Entry from Alexandria via LeMat-Bulk: a relaxed structure of ScFe2 (GGA-PBEsol).

Output
The space group is P6_3/mmc (194). The total energy is -8.449 eV/atom. The calculated volume comes out at 13.28 Å³ per atom. The energy of formation from the pure elements is -0.272 eV per atom.

a = 4.8269 Å, b = 4.8269 Å, c = 15.7916 Å
α = 90.00°, β = 90.00°, γ = 120.00°
Fractional coordinates of all 24 atoms:
Sc: 0.0000 0.0000 0.0934
Sc: 0.0000 0.0000 0.4066
Sc: 0.0000 0.0000 0.5934
Sc: 0.0000 0.0000 0.9066
Sc: 0.3333 0.6667 0.1559
Sc: 0.3333 0.6667 0.3441
Sc: 0.6667 0.3333 0.6559
Sc: 0.6667 0.3333 0.8441
Fe: 0.0000 0.5000 0.0000
Fe: 0.0000 0.5000 0.5000
Fe: 0.1649 0.3298 0.7500
Fe: 0.1649 0.8351 0.7500
Fe: 0.3298 0.1649 0.2500
Fe: 0.3333 0.6667 0.6251
Fe: 0.3333 0.6667 0.8749
Fe: 0.5000 0.0000 0.0000
Fe: 0.5000 0.0000 0.5000
Fe: 0.5000 0.5000 0.0000
Fe: 0.5000 0.5000 0.5000
Fe: 0.6667 0.3333 0.1251
Fe: 0.6667 0.3333 0.3749
Fe: 0.6702 0.8351 0.7500
Fe: 0.8351 0.1649 0.2500
Fe: 0.8351 0.6702 0.2500



What is the total energy in the second record? -2.520 eV/atom



What did the third record say?
Entry from Alexandria via LeMat-Bulk: a relaxed structure of SrRe2Sb (GGA-PBEsol).

Output
The space group is P4mm (99). The total energy is -7.979 eV/atom. The calculated volume comes out at 20.57 Å³ per atom. For the formation energy (no corrections), the calculation gives 110 kJ/mol of formula units.

a = 3.1246 Å, b = 3.1246 Å, c = 8.4293 Å
α = 90.00°, β = 90.00°, γ = 90.00°
Fractional coordinates of all 4 atoms:
Sr: 0.0000 0.0000 0.0000
Re: 0.0000 0.0000 0.5589
Re: 0.5000 0.5000 0.7256
Sb: 0.5000 0.5000 0.3376